Record 1
DFT (PBE) results for an optimized crystal structure of Cd2In2F.

Calculated values
formation energy from raw total energies	-0.517	eV/atom
total magnetic moment	0.000	μB/atom

Geometry as CIF:
```
data_Cd2In2F
_space_group_name_H-M_alt 'P 4/m b m'
_space_group_IT_number 127
_space_group_name_Hall '-P 4 2ab'
_cell_length_a 6.827
_cell_length_b 6.827
_cell_length_c 5.248
_cell_angle_alpha 90.00
_cell_angle_beta 90.00
_cell_angle_gamma 90.00
loop_
_atom_site_label
_atom_site_fract_x
_atom_site_fract_y
_atom_site_fract_z
_atom_site_occupancy
Cd1 0.159 0.341 0.000 1
In1 0.171 0.671 0.500 1
F1 0.000 0.000 0.500 1
```

Record 2
DFT (PBE) results for an optimized crystal structure of CdIn2F.

Calculated values
formation energy from raw total energies	-0.623	eV/atom
ΔE to the lowest computed polymorph	81	meV per atom
total magnetic moment	0.000	μB/atom

Geometry as CIF:
```
data_CdIn2F
_space_group_name_H-M_alt 'P 4/m m m'
_space_group_IT_number 123
_space_group_name_Hall '-P 4 2'
_cell_length_a 3.483
_cell_length_b 3.483
_cell_length_c 7.338
_cell_angle_alpha 90.00
_cell_angle_beta 90.00
_cell_angle_gamma 90.00
loop_
_atom_site_label
_atom_site_fract_x
_atom_site_fract_y
_atom_site_fract_z
_atom_site_occupancy
Cd1 0.000 0.000 0.000 1
In1 0.500 0.500 0.295 1
F1 0.000 0.000 0.500 1
```

Record 3
DFT (PBE) results for an optimized crystal structure of Cd2InF.

Calculated values
formation energy from raw total energies	-0.504	eV/atom
ΔE to the lowest computed polymorph	148	meV per atom
total magnetic moment	0.000	μB/atom

Geometry as CIF:
```
data_Cd2InF
_space_group_name_H-M_alt 'F m -3 m'
_space_group_IT_number 225
_space_group_name_Hall '-F 4 2 3'
_cell_length_a 7.021
_cell_length_b 7.021
_cell_length_c 7.021
_cell_angle_alpha 90.00
_cell_angle_beta 90.00
_cell_angle_gamma 90.00
loop_
_atom_site_label
_atom_site_fract_x
_atom_site_fract_y
_atom_site_fract_z
_atom_site_occupancy
Cd1 0.250 0.250 0.250 1
In1 0.000 0.000 0.000 1
F1 0.000 0.000 0.500 1
```

Record 4
DFT (PBE) results for an optimized crystal structure of Cd2In2F7.

Calculated values
formation energy from raw total energies	-2.025	eV/atom
ΔE to the lowest computed polymorph	43	meV per atom
total magnetic moment	0.000	μB/atom

Geometry as CIF:
```
data_Cd2In2F7
_space_group_name_H-M_alt 'C 1 2/m 1'
_space_group_IT_number 12
_cell_length_a 6.896
_cell_length_b 6.951
_cell_length_c 7.270
_cell_angle_alpha 90.00
_cell_angle_beta 100.76
_cell_angle_gamma 90.00
loop_
_space_group_symop_operation_xyz
'x,y,z'
'-x,-y,-z'
'-x,y,-z'
'x,-y,z'
'x+1/2,y+1/2,z'
'-x+1/2,-y+1/2,-z'
'-x+1/2,y+1/2,-z'
'x+1/2,-y+1/2,z'
loop_
_atom_site_label
_atom_site_fract_x
_atom_site_fract_y
_atom_site_fract_z
_atom_site_occupancy
Cd1 0.000 0.234 0.000 1
In1 0.198 0.500 0.510 1
F1 0.000 0.000 0.500 1
F2 0.198 0.253 0.304 1
F3 0.215 0.500 0.980 1
```

Record 5
DFT (PBE) results for an optimized crystal structure of CdIn2F8.

Calculated values
formation energy from raw total energies	-2.394	eV/atom
ΔE to the lowest computed polymorph	0	meV per atom
total magnetic moment	0.000	μB/atom

Geometry as CIF:
```
data_CdIn2F8
_space_group_name_H-M_alt 'C 1 2/m 1'
_space_group_IT_number 12
_cell_length_a 8.993
_cell_length_b 6.834
_cell_length_c 5.453
_cell_angle_alpha 90.00
_cell_angle_beta 102.51
_cell_angle_gamma 90.00
loop_
_space_group_symop_operation_xyz
'x,y,z'
'-x,-y,-z'
'-x,y,-z'
'x,-y,z'
'x+1/2,y+1/2,z'
'-x+1/2,-y+1/2,-z'
'-x+1/2,y+1/2,-z'
'x+1/2,-y+1/2,z'
loop_
_atom_site_label
_atom_site_fract_x
_atom_site_fract_y
_atom_site_fract_z
_atom_site_occupancy
Cd1 0.000 0.000 0.000 1
In1 0.181 0.500 0.443 1
F1 0.060 0.500 0.736 1
F2 0.142 0.191 0.323 1
F3 0.192 0.000 0.828 1
```

Record 6
DFT (PBE) results for an optimized crystal structure of CdIn2F.

Calculated values
formation energy from raw total energies	-0.704	eV/atom
ΔE to the lowest computed polymorph	0	meV per atom
total magnetic moment	0.000	μB/atom

Geometry as CIF:
```
data_CdIn2F
_space_group_name_H-M_alt 'R -3 m'
_space_group_IT_number 166
_space_group_name_Hall '-R 3 2"'
_cell_length_a 3.3544
_cell_length_b 3.3544
_cell_length_c 27.9084
_cell_angle_alpha 90.00
_cell_angle_beta 90.00
_cell_angle_gamma 120.00
loop_
_atom_site_label
_atom_site_fract_x
_atom_site_fract_y
_atom_site_fract_z
_atom_site_occupancy
Cd1 0.0000 0.0000 0.0000 1
In1 0.0000 0.0000 0.2346 1
F1 0.0000 0.0000 0.5000 1
```

Record 7
DFT (PBE) results for an optimized crystal structure of Cd2In2F7.

Calculated values
formation energy from raw total energies	-2.067	eV/atom
ΔE to the lowest computed polymorph	0	meV per atom
total magnetic moment	0.000	μB/atom

Geometry as CIF:
```
data_Cd2In2F7
_space_group_name_H-M_alt 'C m m m'
_space_group_IT_number 65
_space_group_name_Hall '-C 2 2'
_cell_length_a 7.156
_cell_length_b 8.379
_cell_length_c 5.680
_cell_angle_alpha 90.00
_cell_angle_beta 90.00
_cell_angle_gamma 90.00
loop_
_atom_site_label
_atom_site_fract_x
_atom_site_fract_y
_atom_site_fract_z
_atom_site_occupancy
Cd1 0.000 0.229 0.000 1
In1 0.223 0.500 0.500 1
F1 0.000 0.000 0.258 1
F2 0.000 0.500 0.000 1
F3 0.250 0.250 0.255 1
```

Record 8
DFT (PBE) results for an optimized crystal structure of Cd3In12F5.

Calculated values
formation energy from raw total energies	-0.626	eV/atom
total magnetic moment	0.000	μB/atom

Geometry as CIF:
```
data_Cd3In12F5
_space_group_name_H-M_alt 'I a -3 d'
_space_group_IT_number 230
_space_group_name_Hall '-I 4bd 2c 3'
_cell_length_a 16.181
_cell_length_b 16.181
_cell_length_c 16.181
_cell_angle_alpha 90.00
_cell_angle_beta 90.00
_cell_angle_gamma 90.00
loop_
_atom_site_label
_atom_site_fract_x
_atom_site_fract_y
_atom_site_fract_z
_atom_site_occupancy
Cd1 0.000 0.250 0.125 1
In1 0.036 0.062 0.646 1
F1 0.000 0.000 0.000 1
F2 0.000 0.250 0.375 1
```

Record 9
DFT (PBE) results for an optimized crystal structure of CdIn2F.

Calculated values
formation energy from raw total energies	-0.582	eV/atom
ΔE to the lowest computed polymorph	122	meV per atom
total magnetic moment	0.000	μB/atom

Geometry as CIF:
```
data_CdIn2F
_space_group_name_H-M_alt 'F m -3 m'
_space_group_IT_number 225
_space_group_name_Hall '-F 4 2 3'
_cell_length_a 7.070
_cell_length_b 7.070
_cell_length_c 7.070
_cell_angle_alpha 90.00
_cell_angle_beta 90.00
_cell_angle_gamma 90.00
loop_
_atom_site_label
_atom_site_fract_x
_atom_site_fract_y
_atom_site_fract_z
_atom_site_occupancy
Cd1 0.000 0.000 0.000 1
In1 0.250 0.250 0.250 1
F1 0.000 0.000 0.500 1
```

Record 10
DFT (PBE) results for an optimized crystal structure of CdInF2.

Calculated values
formation energy from raw total energies	-1.545	eV/atom
ΔE to the lowest computed polymorph	0	meV per atom
total magnetic moment	0.000	μB/atom

Geometry as CIF:
```
data_CdInF2
_space_group_name_H-M_alt 'R -3 m'
_space_group_IT_number 166
_space_group_name_Hall '-R 3 2"'
_cell_length_a 3.4868
_cell_length_b 3.4868
_cell_length_c 23.3113
_cell_angle_alpha 90.00
_cell_angle_beta 90.00
_cell_angle_gamma 120.00
loop_
_atom_site_label
_atom_site_fract_x
_atom_site_fract_y
_atom_site_fract_z
_atom_site_occupancy
Cd1 0.0000 0.0000 0.0000 1
In1 0.0000 0.0000 0.5000 1
F1 0.0000 0.0000 0.3846 1
```

Record 11
DFT (PBE) results for an optimized crystal structure of CdInF.

Calculated values
formation energy from raw total energies	-0.975	eV/atom
ΔE to the lowest computed polymorph	0	meV per atom
total magnetic moment	0.000	μB/atom

Geometry as CIF:
```
data_CdInF
_space_group_name_H-M_alt 'I 4 m m'
_space_group_IT_number 107
_space_group_name_Hall 'I 4 -2'
_cell_length_a 4.147
_cell_length_b 4.147
_cell_length_c 10.266
_cell_angle_alpha 90.00
_cell_angle_beta 90.00
_cell_angle_gamma 90.00
loop_
_atom_site_label
_atom_site_fract_x
_atom_site_fract_y
_atom_site_fract_z
_atom_site_occupancy
Cd1 0.000 0.000 0.000 1
In1 0.000 0.000 0.429 1
F1 0.000 0.000 0.221 1
```

Record 12
DFT (PBE) results for an optimized crystal structure of CdIn2F.

Calculated values
formation energy from raw total energies	-0.698	eV/atom
ΔE to the lowest computed polymorph	6	meV per atom
total magnetic moment	0.000	μB/atom

Geometry as CIF:
```
data_CdIn2F
_space_group_name_H-M_alt 'R 3 m'
_space_group_IT_number 160
_space_group_name_Hall 'R 3 -2"'
_cell_length_a 3.3325
_cell_length_b 3.3325
_cell_length_c 28.3271
_cell_angle_alpha 90.00
_cell_angle_beta 90.00
_cell_angle_gamma 120.00
loop_
_atom_site_label
_atom_site_fract_x
_atom_site_fract_y
_atom_site_fract_z
_atom_site_occupancy
Cd1 0.0000 0.0000 0.0000 1
In1 0.0000 0.0000 0.5695 1
In2 0.0000 0.0000 0.7629 1
F1 0.0000 0.0000 0.1800 1
```

| no. | density of states at the Fermi level (states/eV/cell) |
| --- | --- |
| 1 | 4.8 |
| 2 | 1.9 |
| 3 | 5.8 |
| 4 | 3.4 |
| 5 | 0.0 |
| 6 | 5.6 |
| 7 | 5.7 |
| 8 | 57.2 |
| 9 | 7.9 |
| 10 | 2.7 |
| 11 | 1.0 |
| 12 | 7.5 |